Density functional theory data (PBE) for a geometry-optimized ReBiCl3 structure.

```
ReBiCl3
1.0
5.546 0.000 0.000
0.000 5.546 0.000
0.000 0.000 5.546
Bi Re Cl
1 1 3
Direct
0.000 0.000 0.000
0.500 0.500 0.500
0.500 0.000 0.000
0.000 0.000 0.500
0.000 0.500 0.000
```

## Properties
density of states at the Fermi level: 5.2 states/eV per cell
energy relative to the lowest polymorph listed for this composition: 0.294 eV/atom
theoretical density: 4.883 Mg/m³
space-group type: Pm-3m